No. 1
# KCeTlBr6, optimized geometry, DFT PBE
data_KCeTlBr6
_space_group_name_H-M_alt 'P 42 n m'
_space_group_IT_number 102
_cell_length_a 7.387
_cell_length_b 7.387
_cell_length_c 14.163
_cell_angle_alpha 90.00
_cell_angle_beta 90.00
_cell_angle_gamma 90.00
loop_
_space_group_symop_operation_xyz
'x,y,z'
'-y+1/2,x+1/2,z+1/2'
'-x,-y,z'
'y+1/2,-x+1/2,z+1/2'
'-x+1/2,y+1/2,z+1/2'
'y,x,z'
'x+1/2,-y+1/2,z+1/2'
'-y,-x,z'
loop_
_atom_site_label
_atom_site_type_symbol
_atom_site_fract_x
_atom_site_fract_y
_atom_site_fract_z
K1 K 0.000 0.000 0.000
Ce1 Ce 0.000 0.000 0.664
Tl1 Tl 0.000 0.000 0.331
Br1 Br 0.183 0.183 0.519
Br2 Br 0.185 0.185 0.808
Br3 Br 0.232 0.232 0.165
# - energy relative to the elements, uncorrected (eV/atom) = -1.48
# - DFT total energy (eV/atom) = -3.6403
# - total moment (μB/cell) = 0.0

***

No. 2
# PrErAg3, optimized geometry, DFT PBE
data_PrErAg3
_space_group_name_H-M_alt 'C m c m'
_space_group_IT_number 63
_space_group_name_Hall '-C 2c 2'
_cell_length_a 3.581
_cell_length_b 28.056
_cell_length_c 4.822
_cell_angle_alpha 90.00
_cell_angle_beta 90.00
_cell_angle_gamma 90.00
loop_
_atom_site_label
_atom_site_type_symbol
_atom_site_fract_x
_atom_site_fract_y
_atom_site_fract_z
Pr1 Pr 0.000 0.076 0.250
Er1 Er 0.000 0.210 0.750
Ag1 Ag 0.000 0.320 0.750
Ag2 Ag 0.000 0.377 0.250
Ag3 Ag 0.000 0.476 0.250
# - DFT total energy (eV/atom) = -3.8417
# - total moment (μB/cell) = 0.0

***

No. 3
# VB3Mo, optimized geometry, DFT PBE
data_VB3Mo
_space_group_name_H-M_alt 'C m c m'
_space_group_IT_number 63
_space_group_name_Hall '-C 2c 2'
_cell_length_a 3.138
_cell_length_b 18.745
_cell_length_c 3.037
_cell_angle_alpha 90.00
_cell_angle_beta 90.00
_cell_angle_gamma 90.00
loop_
_atom_site_label
_atom_site_type_symbol
_atom_site_fract_x
_atom_site_fract_y
_atom_site_fract_z
V1 V 0.000 0.204 0.250
B1 B 0.000 0.326 0.250
B2 B 0.000 0.379 0.750
B3 B 0.000 0.476 0.750
Mo1 Mo 0.000 0.074 0.750
# - excess energy over the best structure of this formula in the dataset (meV per atom) = 0
# - DFT total energy (eV/atom) = -8.5509
# - total moment (μB/cell) = 0.0